The following is a DFT calculation (PBE) of a relaxed Rb2NaAgBr6 crystal.

Cell lengths 7.8479, 7.8479, 7.8479 Å; angles 119.87, 119.87, 90.23 degrees
Element x y z (fractional)
Rb 0.2500 0.7500 0.5000
Rb 0.7500 0.2500 0.5000
Na 0.0000 0.0000 0.0000
Ag 0.5000 0.5000 0.0000
Br 0.2584 0.2584 0.5167
Br 0.2584 0.7416 0.0000
Br 0.2606 0.2606 0.0000
Br 0.7394 0.7394 0.0000
Br 0.7416 0.2584 0.0000
Br 0.7416 0.7416 0.4833

Calculated values
Raw formation energy (kcal/mol of atoms): -23.13
Total DFT energy (no corrections) (eV per atom): -2.617
DOS at the Fermi energy (states/eV/f.u.): 15.75